# GGA+U Tl2VO2F2, relaxed
# V = 261.2 Å³/cell
# M_tot = 0.991 μB per formula unit
# raw total energy = -5.425 eV per atom
data_Tl2VO2F2
_cell_length_a 12.621
_cell_length_b 3.313
_cell_length_c 6.953
_cell_angle_alpha 90.00
_cell_angle_beta 116.01
_cell_angle_gamma 90.00
_space_group_name_H-M_alt 'C 1 2/m 1'
_space_group_IT_number 12
loop_
_space_group_symop_operation_xyz
'x,y,z'
'-x,-y,-z'
'-x,y,-z'
'x,-y,z'
'x+1/2,y+1/2,z'
'-x+1/2,-y+1/2,-z'
'-x+1/2,y+1/2,-z'
'x+1/2,-y+1/2,z'
loop_
_atom_site_label
_atom_site_type_symbol
_atom_site_fract_x
_atom_site_fract_y
_atom_site_fract_z
_atom_site_occupancy
Tl1 Tl 0.197 0.000 0.218 1
V1 V 0.000 0.000 0.500 1
O1 O 0.150 0.000 0.538 1
F1 F 0.036 0.500 0.702 1